1.
The following is a DFT calculation (PBE) of a geometry-optimized TbErHg4 structure.

Cell: 5.941 5.941 5.941 Å, 60.00 60.00 60.00°
Sites, in units of the cell vectors:
Hg: 0.125 0.625 0.625
Hg: 0.625 0.125 0.625
Hg: 0.625 0.625 0.125
Hg: 0.625 0.625 0.625
Er: 0.250 0.250 0.250
Tb: 0.000 0.000 0.000

Symmetry ... F-43m, No. 216
Energy above the most stable polymorph in this dataset ... 207 meV/atom
E_tot ... -11.50 eV per cell

=====

2.
The following is a DFT calculation (PBE) of a geometry-optimized TbEr5Hg3 structure.

Cell: 6.888 9.008 9.009 Å, 120.00 90.00 90.00°
Sites, in units of the cell vectors:
Er: 0.750 0.334 0.000
Er: 0.250 0.000 0.666
Er: 0.000 0.333 0.667
Er: 0.500 0.667 0.333
Er: 0.000 0.667 0.333
Er: 0.250 0.666 0.000
Er: 0.250 0.334 0.334
Er: 0.500 0.333 0.667
Er: 0.750 0.000 0.334
Er: 0.750 0.666 0.666
Tb: 0.500 0.000 0.000
Tb: 0.000 0.000 0.000
Hg: 0.250 0.000 0.333
Hg: 0.750 0.333 0.333
Hg: 0.250 0.667 0.667
Hg: 0.750 0.000 0.667
Hg: 0.250 0.333 0.000
Hg: 0.750 0.667 0.000

Symmetry ... P6_3/mcm, No. 193
E_tot ... -62.33 eV per cell

=====

3.
The following is a DFT calculation (PBE) of a geometry-optimized Tb2ErHg6 structure.

Cell: 5.431 9.269 9.269 Å, 78.25 82.25 82.25°
Sites, in units of the cell vectors:
Hg: 0.696 0.234 0.986
Hg: 0.196 0.986 0.234
Hg: 0.529 0.318 0.571
Hg: 0.304 0.766 0.014
Hg: 0.029 0.571 0.318
Hg: 0.138 0.345 0.096
Hg: 0.862 0.655 0.904
Hg: 0.804 0.014 0.766
Hg: 0.471 0.682 0.429
Hg: 0.971 0.429 0.682
Hg: 0.638 0.096 0.345
Hg: 0.362 0.904 0.655
Tb: 0.083 0.208 0.459
Tb: 0.417 0.541 0.792
Tb: 0.583 0.459 0.208
Tb: 0.917 0.792 0.541
Er: 0.250 0.125 0.875
Er: 0.750 0.875 0.125

Symmetry ... C2/c, No. 15
E_tot ... -38.41 eV per cell